Run one
This record from Alexandria describes an optimized crystal structure of La3Tb4Sm2. The functional is PBE.

Its space group is C2/m (12). The calculation puts the volume at 307.23 Å³/cell. The calculation puts the calculated density at 7.31 g cm⁻³. As for the density of states at the Fermi level: 1.70 states/eV/atom.

a b c (Å): 8.145 8.145 8.149
angles (deg): 107.56 107.56 36.83
Positions (direct):
La 0.000 0.000 0.000
La 0.112 0.112 0.665
La 0.888 0.888 0.335
Tb 0.221 0.221 0.331
Tb 0.332 0.332 0.000
Tb 0.668 0.668 0.000
Tb 0.779 0.779 0.669
Sm 0.443 0.443 0.669
Sm 0.557 0.557 0.331

---

Run two
This record from Alexandria describes an optimized crystal structure of La3Tb4Sm2. The functional is PBE.

Its space group is C2/c (15). The calculation puts the volume at 609.56 Å³/cell. The calculation puts the calculated density at 7.37 g cm⁻³. As for the density of states at the Fermi level: 1.61 states/eV/atom.

a b c (Å): 10.228 10.228 6.207
angles (deg): 96.24 96.24 71.31
Positions (direct):
La 0.126 0.874 0.750
La 0.203 0.466 0.914
La 0.466 0.203 0.414
La 0.534 0.797 0.586
La 0.797 0.534 0.086
La 0.874 0.126 0.250
Tb 0.102 0.347 0.365
Tb 0.323 0.566 0.466
Tb 0.347 0.102 0.865
Tb 0.434 0.677 0.034
Tb 0.566 0.323 0.966
Tb 0.653 0.898 0.135
Tb 0.677 0.434 0.534
Tb 0.898 0.653 0.635
Sm 0.015 0.761 0.201
Sm 0.239 0.985 0.299
Sm 0.761 0.015 0.701
Sm 0.985 0.239 0.799

---

It turns out run one is the most stable, with the second structure 0.067 eV/atom higher.

---

Run one
This record from Alexandria describes an optimized crystal structure of LaTb4Sm. The functional is PBE.

Its space group is P2_1/m (11). The calculation puts the volume at 397.78 Å³/cell. The calculation puts the calculated density at 7.72 g cm⁻³. As for the density of states at the Fermi level: 1.50 states/eV/atom.

a b c (Å): 5.772 7.068 9.750
angles (deg): 90.00 90.41 90.00
Positions (direct):
La 0.217 0.250 0.420
La 0.783 0.750 0.580
Tb 0.252 0.002 0.756
Tb 0.252 0.498 0.756
Tb 0.276 0.250 0.081
Tb 0.278 0.750 0.416
Tb 0.722 0.250 0.584
Tb 0.724 0.750 0.919
Tb 0.748 0.502 0.244
Tb 0.748 0.998 0.244
Sm 0.223 0.750 0.083
Sm 0.777 0.250 0.917

---

Run two
This record from Alexandria describes an optimized crystal structure of LaTb4Sm. The functional is PBE.

Its space group is C2/m (12). The calculation puts the volume at 198.81 Å³/cell. The calculation puts the calculated density at 7.73 g cm⁻³. As for the density of states at the Fermi level: 1.48 states/eV/atom.

a b c (Å): 6.243 6.243 7.215
angles (deg): 106.79 106.79 48.19
Positions (direct):
La 0.000 0.000 0.000
Tb 0.331 0.331 0.664
Tb 0.333 0.333 0.168
Tb 0.667 0.667 0.832
Tb 0.669 0.669 0.336
Sm 0.000 0.000 0.500

---

It turns out run two is the most stable, with the second structure 0.041 eV/atom higher.

---

Run one
This record from Alexandria describes an optimized crystal structure of LaTb2Sm4. The functional is PBE.

Its space group is P2_1/m (11). The calculation puts the volume at 470.99 Å³/cell. The calculation puts the calculated density at 7.46 g cm⁻³. As for the density of states at the Fermi level: 1.57 states/eV/atom.

a b c (Å): 6.184 6.682 11.740
angles (deg): 90.00 103.86 90.00
Positions (direct):
La 0.029 0.250 0.357
La 0.971 0.750 0.643
Tb 0.151 0.250 0.947
Tb 0.401 0.750 0.502
Tb 0.599 0.250 0.498
Tb 0.849 0.750 0.053
Sm 0.149 0.250 0.660
Sm 0.288 0.750 0.930
Sm 0.355 0.508 0.212
Sm 0.355 0.992 0.212
Sm 0.645 0.008 0.788
Sm 0.645 0.492 0.788
Sm 0.712 0.250 0.070
Sm 0.851 0.750 0.340

---

Run two
This record from Alexandria describes an optimized crystal structure of LaTb2Sm4. The functional is PBE.

Its space group is P1 (1). The calculation puts the volume at 476.33 Å³/cell. The calculation puts the calculated density at 7.38 g cm⁻³. As for the density of states at the Fermi level: 1.57 states/eV/atom.

a b c (Å): 6.586 8.685 8.907
angles (deg): 88.73 82.68 70.53
Positions (direct):
La 0.000 0.000 0.000
La 0.427 0.196 0.862
Tb 0.276 0.968 0.618
Tb 0.322 0.421 0.523
Tb 0.552 0.850 0.093
Tb 0.719 0.620 0.424
Sm 0.022 0.546 0.055
Sm 0.142 0.203 0.289
Sm 0.180 0.762 0.329
Sm 0.404 0.628 0.819
Sm 0.584 0.396 0.146
Sm 0.699 0.051 0.406
Sm 0.864 0.776 0.717
Sm 0.881 0.337 0.722

---

It turns out run two is the most stable, with the second structure 0.041 eV/atom higher.